1.
Below is crystalline PrGdAu2 at its relaxed geometry, with properties calculated at the GGA-PBE level.

Unit cell a=3.6700 b=3.6700 c=7.4333 alpha=90.00 beta=90.00 gamma=90.00
Positions (direct):
Pr 0.0000 0.0000 0.0000
Gd 0.0000 0.0000 0.5000
Au 0.5000 0.5000 0.2676
Au 0.5000 0.5000 0.7324

Results
* DOS at the Fermi energy: 3.075 states/eV/cell
* raw total energy: -7.145 eV per atom

2.
Below is crystalline PrGdPtAu at its relaxed geometry, with properties calculated at the GGA-PBE level.

Unit cell a=5.1406 b=5.1406 c=5.1406 alpha=60.00 beta=60.00 gamma=60.00
Positions (direct):
Pr 0.0000 0.0000 0.0000
Gd 0.5000 0.5000 0.5000
Pt 0.2500 0.2500 0.2500
Au 0.7500 0.7500 0.7500

Results
* DOS at the Fermi energy: 3.206 states/eV/cell
* raw total energy: -7.973 eV per atom

Computed values of ΔH_f (0 K) (unit: eV/f.u.) for the preceding records, in sequence: -3.2, -3.7.
Computed values of size of the total moment (unit: μB per formula unit) for the preceding records, in sequence: 7.13, 7.17.